Record 1
{"formula": "PuTaMnFe", "functional": "PBE", "state": "relaxed", "vol_a3_per_fu": 63.37, "ef_mev_per_atom": 131, "spacegroup": "F-43m (216)", "dos_ef_per_ev_cell": 4.99, "lattice": [[-1.931, 3.264, -2.375], [-4.389, -0.156, -0.861], [-2.777, 2.881, 2.003]], "species": ["Ta", "Fe", "Mn", "Pu"], "frac_coords": [[0.000, 0.000, 0.000], [0.250, 0.250, 0.250], [0.750, 0.750, 0.750], [0.500, 0.500, 0.500]]}



Record 2
{"formula": "PuThMnFe", "functional": "PBE", "state": "relaxed", "vol_a3_per_fu": 80.39, "ef_mev_per_atom": 121, "spacegroup": "F-43m (216)", "dos_ef_per_ev_cell": 4.68, "lattice": [[-0.967, -4.329, 1.947], [3.581, -3.179, 0.737], [1.455, -1.007, 4.510]], "species": ["Mn", "Fe", "Th", "Pu"], "frac_coords": [[0.500, 0.500, 0.500], [0.000, 0.000, 0.000], [0.250, 0.250, 0.250], [0.750, 0.750, 0.750]]}



Record 3
{"formula": "PuMnVFe", "functional": "PBE", "state": "relaxed", "vol_a3_per_fu": 59.38, "ef_mev_per_atom": 159, "spacegroup": "F-43m (216)", "dos_ef_per_ev_cell": 5.68, "lattice": [[-1.934, 3.578, -1.623], [-3.608, 1.593, 1.903], [0.175, 3.777, 2.209]], "species": ["V", "Mn", "Fe", "Pu"], "frac_coords": [[0.250, 0.250, 0.250], [0.000, 0.000, 0.000], [0.500, 0.500, 0.500], [0.750, 0.750, 0.750]]}



Record 4
{"formula": "RbMnFe3", "functional": "PBE", "state": "relaxed", "vol_a3_per_fu": 95.86, "ef_mev_per_atom": 1353, "spacegroup": "Pm-3m (221)", "dos_ef_per_ev_cell": 5.67, "lattice": [[4.577, 0.000, 0.000], [0.000, 4.577, 0.000], [0.000, 0.000, 4.577]], "species": ["Mn", "Fe", "Fe", "Fe", "Rb"], "frac_coords": [[0.000, 0.000, 0.000], [0.000, 0.500, 0.000], [0.000, 0.000, 0.500], [0.500, 0.000, 0.000], [0.500, 0.500, 0.500]]}



Record 5
{"formula": "RbMnFe3", "functional": "PBE", "state": "relaxed", "vol_a3_per_fu": 99.50, "ef_mev_per_atom": 2698, "spacegroup": "Pm-3m (221)", "dos_ef_per_ev_cell": 8.60, "lattice": [[-4.611, -0.340, 0.301], [0.444, -4.037, 2.231], [0.099, 2.249, 4.050]], "species": ["Mn", "Fe", "Fe", "Fe", "Rb"], "frac_coords": [[0.500, 0.500, 0.500], [0.000, 0.500, 0.000], [0.000, 0.000, 0.500], [0.500, 0.000, 0.000], [0.000, 0.000, 0.000]]}



Record 6
{"formula": "Rb2MnFe", "functional": "PBE", "state": "relaxed", "vol_a3_per_fu": 185.31, "ef_mev_per_atom": 1139, "spacegroup": "I-42d (122)", "dos_ef_per_ev_cell": 15.44, "lattice": [[13.063, 0.000, 0.000], [0.000, 13.063, 0.000], [6.531, 6.531, 2.172]], "species": ["Mn", "Mn", "Fe", "Fe", "Rb", "Rb", "Rb", "Rb"], "frac_coords": [[0.500, 0.500, 0.000], [0.250, 0.750, 0.500], [0.000, 0.000, 0.000], [0.750, 0.250, 0.500], [0.442, 0.125, 0.250], [0.308, 0.625, 0.250], [0.375, 0.558, 0.750], [0.875, 0.692, 0.750]]}



Record 7
{"formula": "Rb2MnFe", "functional": "PBE", "state": "relaxed", "vol_a3_per_fu": 156.27, "ef_mev_per_atom": 1380, "spacegroup": "Fm-3m (225)", "dos_ef_per_ev_cell": 3.64, "lattice": [[0.000, 4.275, 4.275], [4.275, 0.000, 4.275], [4.275, 4.275, 0.000]], "species": ["Mn", "Fe", "Rb", "Rb"], "frac_coords": [[0.000, 0.000, 0.000], [0.500, 0.500, 0.500], [0.250, 0.250, 0.250], [0.750, 0.750, 0.750]]}



Record 8
{"formula": "RbMnFeRu2", "functional": "PBE", "state": "relaxed", "vol_a3_per_fu": 100.39, "ef_mev_per_atom": 2203, "spacegroup": "P4/mmm (123)", "dos_ef_per_ev_cell": 8.53, "lattice": [[4.472, 0.000, 0.000], [0.000, 5.020, 0.000], [0.000, 0.000, 4.472]], "species": ["Ru", "Ru", "Mn", "Fe", "Rb"], "frac_coords": [[0.000, 0.000, 0.500], [0.500, 0.000, 0.000], [0.500, 0.500, 0.500], [0.000, 0.000, 0.000], [0.000, 0.500, 0.000]]}



Record 9
{"formula": "RbMn2FeSb", "functional": "PBE", "state": "relaxed", "vol_a3_per_fu": 117.65, "spacegroup": "P4/mmm (123)", "dos_ef_per_ev_cell": 5.57, "raw_formation_energy_mev_per_atom": 2184.1, "lattice": [[5.029, 0.000, 0.000], [0.000, 4.652, 0.000], [0.000, 0.000, 5.029]], "species": ["Sb", "Mn", "Mn", "Fe", "Rb"], "frac_coords": [[0.500, 0.500, 0.500], [0.000, 0.000, 0.500], [0.500, 0.000, 0.000], [0.000, 0.500, 0.000], [0.000, 0.000, 0.000]]}



Record 10
{"formula": "RbMnFeSe3", "functional": "PBE", "state": "relaxed", "vol_a3_per_fu": 148.53, "spacegroup": "P2_1/m (11)", "dos_ef_per_ev_cell": 7.25, "raw_formation_energy_mev_per_atom": -554.6, "lattice": [[-1.325, 1.777, -3.014], [2.668, -6.805, -5.186], [-9.061, -0.858, 3.478]], "species": ["Rb", "Rb", "Mn", "Mn", "Fe", "Fe", "Se", "Se", "Se", "Se", "Se", "Se"], "frac_coords": [[0.250, 0.227, 0.258], [0.750, 0.773, 0.742], [0.250, 0.671, 0.147], [0.750, 0.329, 0.853], [0.250, 0.063, 0.591], [0.750, 0.937, 0.409], [0.750, 0.861, 0.138], [0.250, 0.139, 0.862], [0.250, 0.766, 0.436], [0.750, 0.234, 0.564], [0.750, 0.474, 0.134], [0.250, 0.526, 0.866]]}



Record 11
{"formula": "Rb2MnFeSe4", "functional": "PBE", "state": "relaxed", "vol_a3_per_fu": 240.48, "spacegroup": "Fddd (70)", "dos_ef_per_ev_cell": 5.80, "raw_formation_energy_mev_per_atom": -707.7, "lattice": [[-2.427, 5.116, -0.263], [-6.833, -0.260, -3.121], [-6.166, 0.773, 10.861]], "species": ["Rb", "Rb", "Rb", "Rb", "Mn", "Mn", "Fe", "Fe", "Se", "Se", "Se", "Se", "Se", "Se", "Se", "Se"], "frac_coords": [[0.179, 0.000, 0.641], [0.821, 0.000, 0.359], [0.571, 0.500, 0.859], [0.929, 0.500, 0.141], [0.250, 0.500, 0.500], [0.500, 0.000, 0.000], [0.750, 0.500, 0.500], [0.000, 0.000, 0.000], [0.296, 0.812, 0.107], [0.215, 0.188, 0.893], [0.892, 0.812, 0.893], [0.597, 0.188, 0.107], [0.454, 0.688, 0.393], [0.535, 0.312, 0.607], [0.858, 0.688, 0.607], [0.153, 0.312, 0.393]]}



Record 12
{"formula": "RbMnFe2Si", "functional": "PBE", "state": "relaxed", "vol_a3_per_fu": 99.81, "spacegroup": "P4/mmm (123)", "dos_ef_per_ev_cell": 6.65, "raw_formation_energy_mev_per_atom": 969.0, "lattice": [[4.705, 0.000, 0.000], [0.000, 4.509, 0.000], [0.000, 0.000, 4.705]], "species": ["Si", "Mn", "Fe", "Fe", "Rb"], "frac_coords": [[0.000, 0.500, 0.000], [0.000, 0.000, 0.000], [0.000, 0.000, 0.500], [0.500, 0.000, 0.000], [0.500, 0.500, 0.500]]}



Record 13
{"formula": "RbMn2FeTe", "functional": "PBE", "state": "relaxed", "vol_a3_per_fu": 123.84, "spacegroup": "P4/mmm (123)", "dos_ef_per_ev_cell": 8.20, "raw_formation_energy_mev_per_atom": 2299.7, "lattice": [[-3.443, 2.209, 3.145], [1.677, -2.467, 3.568], [3.363, 3.776, 1.030]], "species": ["Mn", "Mn", "Te", "Fe", "Rb"], "frac_coords": [[0.000, 0.000, 0.500], [0.500, 0.000, 0.000], [0.500, 0.500, 0.500], [0.000, 0.500, 0.000], [0.000, 0.000, 0.000]]}



Record 14
{"formula": "RbMn2FeW", "functional": "PBE", "state": "relaxed", "vol_a3_per_fu": 109.75, "ef_mev_per_atom": 1298, "spacegroup": "P4/mmm (123)", "dos_ef_per_ev_cell": 3.43, "lattice": [[4.959, 0.000, 0.000], [0.000, 4.464, 0.000], [0.000, 0.000, 4.959]], "species": ["Mn", "Mn", "Rb", "W", "Fe"], "frac_coords": [[0.000, 0.000, 0.500], [0.500, 0.000, 0.000], [0.500, 0.500, 0.500], [0.000, 0.500, 0.000], [0.000, 0.000, 0.000]]}



Record 15
{"formula": "MnFeRe2", "functional": "PBE", "state": "relaxed", "vol_a3_per_fu": 52.51, "ef_mev_per_atom": 119, "spacegroup": "Pmm2 (25)", "dos_ef_per_ev_cell": 4.69, "lattice": [[-1.604, 1.113, -1.816], [1.654, -1.984, -2.676], [-3.514, -3.895, 0.716]], "species": ["Fe", "Mn", "Re", "Re"], "frac_coords": [[0.000, 0.000, 0.506], [0.500, 0.500, 0.743], [0.000, 0.000, 0.980], [0.500, 0.500, 0.271]]}



Record 16
{"formula": "MnFe3Re", "functional": "PBE", "state": "relaxed", "vol_a3_per_fu": 69.08, "ef_mev_per_atom": 1386, "spacegroup": "Pm-3m (221)", "dos_ef_per_ev_cell": 6.31, "lattice": [[4.103, 0.000, 0.000], [0.000, 4.103, 0.000], [0.000, 0.000, 4.103]], "species": ["Re", "Mn", "Fe", "Fe", "Fe"], "frac_coords": [[0.500, 0.500, 0.500], [0.000, 0.000, 0.000], [0.000, 0.500, 0.000], [0.000, 0.000, 0.500], [0.500, 0.000, 0.000]]}



Record 17
{"formula": "MnFe2Re", "functional": "PBE", "state": "relaxed", "vol_a3_per_fu": 49.11, "ef_mev_per_atom": 202, "spacegroup": "R3m (160)", "dos_ef_per_ev_cell": 5.20, "lattice": [[8.438, -0.004, -0.002], [8.035, 2.578, -0.002], [8.035, 1.255, 2.252]], "species": ["Fe", "Fe", "Mn", "Re"], "frac_coords": [[0.997, 0.997, 0.997], [0.250, 0.250, 0.250], [0.505, 0.505, 0.505], [0.748, 0.748, 0.748]]}



Record 18
{"formula": "MnFe2Re", "functional": "PBE", "state": "relaxed", "vol_a3_per_fu": 49.50, "ef_mev_per_atom": 63, "spacegroup": "Imm2 (44)", "dos_ef_per_ev_cell": 3.19, "lattice": [[4.799, -0.001, 0.000], [2.129, 4.302, 0.000], [-3.035, -2.842, 2.398]], "species": ["Fe", "Fe", "Mn", "Re"], "frac_coords": [[0.996, 0.996, 0.000], [0.752, 0.252, 0.500], [0.503, 0.503, 0.000], [0.249, 0.749, 0.500]]}



Record 19
{"formula": "MnFeRe2", "functional": "PBE", "state": "relaxed", "vol_a3_per_fu": 52.19, "ef_mev_per_atom": 58, "spacegroup": "I4/mmm (139)", "dos_ef_per_ev_cell": 3.28, "lattice": [[4.543, 0.007, 0.000], [1.415, 4.317, 0.000], [-2.979, -2.162, 2.662]], "species": ["Fe", "Mn", "Re", "Re"], "frac_coords": [[0.250, 0.750, 0.500], [0.750, 0.250, 0.500], [0.000, 0.000, 0.000], [0.500, 0.500, 0.000]]}



Record 20
{"formula": "MnFe2Re", "functional": "PBE", "state": "relaxed", "vol_a3_per_fu": 47.58, "ef_mev_per_atom": 33, "spacegroup": "P4/mmm (123)", "dos_ef_per_ev_cell": 3.52, "lattice": [[3.638, 0.000, 0.000], [0.000, 3.616, 0.000], [0.000, 0.000, 3.616]], "species": ["Fe", "Fe", "Mn", "Re"], "frac_coords": [[0.000, 0.000, 0.000], [0.000, 0.500, 0.500], [0.500, 0.500, 0.000], [0.500, 0.000, 0.500]]}